A plane-wave DFT calculation with PBE was carried out for a relaxed structure of AlVS2.

extended XYZ file:
```
8
Lattice="5.457 0.000 0.000 0.000 5.457 0.000 2.728 2.728 5.290" Properties=species:S:1:pos:R:3 pbc="T T T"
V 0.000 0.000 0.000
V 5.457 2.728 2.645
Al 2.728 2.728 0.000
Al 2.728 5.457 2.645
S 1.461 4.093 1.323
S 6.821 6.724 3.968
S 4.093 4.189 3.968
S 3.996 1.364 1.323
```

Properties
The total magnetization is 6.32 Bohr magnetons per cell. The calculation puts the volume at 157.5 Å³ per cell. As for the space group: I-42d (122). The calculation puts the formation energy from raw total energies at -2.17 eV/f.u. Its crystal system is tetragonal.

A plane-wave DFT calculation with PBE was carried out for a relaxed structure of Na3HoPd3O8.

extended XYZ file:
```
15
Lattice="-2.905 1.054 -5.318 3.001 -5.858 0.757 -5.498 0.611 3.125" Properties=species:S:1:pos:R:3 pbc="T T T"
O -0.759 -2.212 -0.024
O -2.987 -4.165 -0.823
O -1.656 -4.648 1.613
O -4.643 -1.981 -1.413
O -3.138 -1.963 1.325
O -3.746 0.455 -3.049
O -2.416 -0.028 -0.613
O -2.264 -2.230 -2.762
Na 0.000 0.000 0.000
Na 0.048 -2.402 -2.280
Na 1.500 -2.929 0.378
Pd -4.202 0.832 -1.096
Pd -1.249 -2.623 1.941
Pd -2.701 -2.096 -0.718
Ho -2.749 0.306 1.562
```

Properties
The total magnetization is 0.00 Bohr magnetons per cell. The calculation puts the volume at 201.8 Å³ per cell. As for the space group: C2/m (12). The calculation puts the formation energy from raw total energies at -18.26 eV/f.u. Its crystal system is monoclinic.

A plane-wave DFT calculation with PBE was carried out for a relaxed structure of TcAgHAu2.

extended XYZ file:
```
5
Lattice="5.216 0.000 0.000 0.000 3.178 0.000 0.000 0.000 5.216" Properties=species:S:1:pos:R:3 pbc="T T T"
Tc 2.608 1.589 2.608
Au 0.000 0.000 2.608
Au 2.608 0.000 0.000
H 0.000 1.589 0.000
Ag 0.000 0.000 0.000
```

Properties
The total magnetization is 3.20 Bohr magnetons per cell. The calculation puts the volume at 86.5 Å³ per cell. As for the space group: P4/mmm (123). Its crystal system is tetragonal. The value obtained for the electronic total energy is -3.758 eV/atom.

A plane-wave DFT calculation with PBE was carried out for a relaxed structure of Tl5Sb2Pb12.

extended XYZ file:
```
19
Lattice="6.053 -0.107 1.160 1.249 9.318 4.386 -0.071 -0.607 10.356" Properties=species:S:1:pos:R:3 pbc="T T T"
Tl 4.413 6.786 12.258
Tl 5.594 2.713 5.747
Tl 1.637 5.891 10.156
Tl 2.818 1.818 3.645
Tl 3.027 -0.054 0.580
Pb 1.258 7.833 13.302
Pb 3.871 0.949 8.119
Pb 2.315 3.834 6.886
Pb 4.916 4.770 9.017
Pb 3.360 7.655 7.784
Pb 6.020 8.417 9.710
Pb 2.701 2.697 10.766
Pb 5.369 3.521 12.655
Pb 1.211 0.187 6.193
Pb 5.973 0.771 2.602
Pb 1.862 5.083 3.248
Pb 4.530 5.907 5.137
Sb 0.899 6.690 5.967
Sb 0.278 2.021 8.776
```

Properties
The total magnetization is 0.00 Bohr magnetons per cell. The calculation puts the volume at 601.6 Å³ per cell. As for the space group: C2/m (12). The calculation puts the formation energy from raw total energies at 0.86 eV/f.u. Its crystal system is monoclinic.

A plane-wave DFT calculation with PBE was carried out for a relaxed structure of LaSc2Sb.

extended XYZ file:
```
4
Lattice="-0.566 5.535 -1.796 -3.055 3.222 3.805 4.582 -3.590 0.554" Properties=species:S:1:pos:R:3 pbc="T T T"
Sc -1.811 4.379 1.004
Sc 0.000 0.000 0.000
Sb -0.142 2.005 2.681
La 1.103 3.162 -0.119
```

Properties
The total magnetization is 0.00 Bohr magnetons per cell. The calculation puts the volume at 103.9 Å³ per cell. As for the space group: I4/mmm (139). The calculation puts the formation energy from raw total energies at -1.64 eV/f.u. Its crystal system is tetragonal.

A plane-wave DFT calculation with PBE was carried out for a relaxed structure of Li3VS4.

extended XYZ file:
```
8
Lattice="5.968 0.000 0.000 0.000 5.968 0.000 0.000 0.000 5.968" Properties=species:S:1:pos:R:3 pbc="T T T"
V 0.000 0.000 0.000
S 1.248 1.248 1.248
S 4.720 1.248 4.720
S 4.720 4.720 1.248
S 1.248 4.720 4.720
Li 0.000 2.984 0.000
Li 0.000 0.000 2.984
Li 2.984 0.000 0.000
```

Properties
The total magnetization is 0.00 Bohr magnetons per cell. The calculation puts the volume at 212.5 Å³ per cell. As for the space group: P-43m (215). The calculation puts the formation energy from raw total energies at -8.89 eV/f.u. Its crystal system is cubic. As for the energy above the most stable polymorph in this dataset: 0.00 kJ per mole of atoms.